No. 1
DFT (PBE-GGA) results for an optimized crystal structure of KLaGe2O6. Values from VASP.

## Properties
Fermi-level density of states	0.00	states/eV/f.u.
symmetry	C2/c (15)
ρ	4.2	g/cm3
raw formation energy	-2.141	eV per atom

The structure in Quantum ESPRESSO input format:
```
&SYSTEM
  ibrav = 0, nat = 20, ntyp = 4
/
ATOMIC_SPECIES
K 39.10 K.upf
La 138.91 La.upf
Ge 72.64 Ge.upf
O 16.00 O.upf
CELL_PARAMETERS angstrom
4.0768 -5.9065 0.0000
4.0768 5.9065 0.0000
-1.5530 0.0000 6.9562
ATOMIC_POSITIONS crystal
K 0.0462 0.9538 0.7500
K 0.9538 0.0462 0.2500
La 0.4046 0.5954 0.2500
La 0.5954 0.4046 0.7500
Ge 0.1710 0.4997 0.6339
Ge 0.4997 0.1710 0.1339
Ge 0.5003 0.8290 0.8661
Ge 0.8290 0.5003 0.3661
O 0.0691 0.4796 0.3475
O 0.2350 0.2847 0.6078
O 0.2847 0.2350 0.1078
O 0.2878 0.6059 0.9031
O 0.3941 0.7122 0.5969
O 0.4796 0.0691 0.8475
O 0.5204 0.9309 0.1525
O 0.6059 0.2878 0.4031
O 0.7122 0.3941 0.0969
O 0.7153 0.7650 0.8922
O 0.7650 0.7153 0.3922
O 0.9309 0.5204 0.6525
```

No. 2
DFT (PBE-GGA) results for an optimized crystal structure of KLaGeO4. Values from VASP.

## Properties
Fermi-level density of states	0.00	states/eV/f.u.
symmetry	P2_1/m (11)
ρ	3.9	g/cm3
raw formation energy	-2.371	eV per atom

The structure in Quantum ESPRESSO input format:
```
&SYSTEM
  ibrav = 0, nat = 14, ntyp = 4
/
ATOMIC_SPECIES
K 39.10 K.upf
La 138.91 La.upf
Ge 72.64 Ge.upf
O 16.00 O.upf
CELL_PARAMETERS angstrom
6.0827 0.0000 0.0000
0.0000 5.9146 0.0000
-1.5348 0.0000 7.4024
ATOMIC_POSITIONS crystal
K 0.1636 0.2500 0.4021
K 0.8364 0.7500 0.5979
La 0.2843 0.2500 0.9423
La 0.7157 0.7500 0.0577
Ge 0.2350 0.7500 0.1663
Ge 0.7650 0.2500 0.8337
O 0.0407 0.7500 0.3113
O 0.0656 0.7500 0.9433
O 0.4255 0.5169 0.1816
O 0.4255 0.9831 0.1816
O 0.5745 0.0169 0.8184
O 0.5745 0.4831 0.8184
O 0.9344 0.2500 0.0567
O 0.9593 0.2500 0.6887
```

No. 3
DFT (PBE-GGA) results for an optimized crystal structure of K4La3GeO8. Values from VASP.

## Properties
Fermi-level density of states	2.04	states/eV/f.u.
symmetry	R-3m (166)
ρ	4.5	g/cm3
raw formation energy	-2.239	eV per atom

The structure in Quantum ESPRESSO input format:
```
&SYSTEM
  ibrav = 0, nat = 16, ntyp = 4
/
ATOMIC_SPECIES
K 39.10 K.upf
La 138.91 La.upf
Ge 72.64 Ge.upf
O 16.00 O.upf
CELL_PARAMETERS angstrom
3.6194 2.0896 6.2848
-3.6194 2.0896 6.2848
0.0000 -4.1793 6.2848
ATOMIC_POSITIONS crystal
K 0.0000 0.0000 0.0000
K 0.0000 0.5000 0.5000
K 0.5000 0.0000 0.5000
K 0.5000 0.5000 0.0000
La 0.0000 0.0000 0.5000
La 0.0000 0.5000 0.0000
La 0.5000 0.0000 0.0000
Ge 0.5000 0.5000 0.5000
O 0.2309 0.2309 0.2309
O 0.2503 0.7188 0.7188
O 0.2812 0.2812 0.7497
O 0.2812 0.7497 0.2812
O 0.7188 0.2503 0.7188
O 0.7188 0.7188 0.2503
O 0.7497 0.2812 0.2812
O 0.7691 0.7691 0.7691
```

No. 4
DFT (PBE-GGA) results for an optimized crystal structure of KLaGe2Pb. Values from VASP.

## Properties
Fermi-level density of states	4.27	states/eV/f.u.
symmetry	P4/mmm (123)
DFT formation energy	736	meV/atom
ρ	5.3	g/cm3

The structure in Quantum ESPRESSO input format:
```
&SYSTEM
  ibrav = 0, nat = 5, ntyp = 4
/
ATOMIC_SPECIES
K 39.10 K.upf
La 138.91 La.upf
Ge 72.64 Ge.upf
Pb 207.20 Pb.upf
CELL_PARAMETERS angstrom
5.4083 0.0000 0.0000
0.0000 5.4083 0.0000
0.0000 0.0000 5.6370
ATOMIC_POSITIONS crystal
K 0.0000 0.0000 0.0000
La 0.5000 0.5000 0.5000
Ge 0.0000 0.5000 0.0000
Ge 0.5000 0.0000 0.0000
Pb 0.0000 0.0000 0.5000
```

No. 5
DFT (PBE-GGA) results for an optimized crystal structure of KRbLa2Ge. Values from VASP.

## Properties
Fermi-level density of states	5.65	states/eV/f.u.
symmetry	P4/mmm (123)
DFT formation energy	80	meV/atom
ρ	3.1	g/cm3

The structure in Quantum ESPRESSO input format:
```
&SYSTEM
  ibrav = 0, nat = 5, ntyp = 4
/
ATOMIC_SPECIES
K 39.10 K.upf
Rb 85.47 Rb.upf
La 138.91 La.upf
Ge 72.64 Ge.upf
CELL_PARAMETERS angstrom
5.9342 0.0000 0.0000
0.0000 5.9342 0.0000
0.0000 0.0000 7.2422
ATOMIC_POSITIONS crystal
K 0.0000 0.0000 0.0000
Rb 0.5000 0.5000 0.0000
La 0.0000 0.5000 0.5000
La 0.5000 0.0000 0.5000
Ge 0.5000 0.5000 0.5000
```

No. 6
DFT (PBE-GGA) results for an optimized crystal structure of K2LaGeS4. Values from VASP.

## Properties
Fermi-level density of states	3.15	states/eV/f.u.
symmetry	Imma (74)
ρ	3.3	g/cm3
raw formation energy	-1.158	eV per atom

The structure in Quantum ESPRESSO input format:
```
&SYSTEM
  ibrav = 0, nat = 16, ntyp = 4
/
ATOMIC_SPECIES
K 39.10 K.upf
La 138.91 La.upf
Ge 72.64 Ge.upf
S 32.06 S.upf
CELL_PARAMETERS angstrom
-4.1085 4.3029 5.9493
4.1085 -4.3029 5.9493
4.1085 4.3029 -5.9493
ATOMIC_POSITIONS crystal
K 0.0000 0.0000 0.0000
K 0.5000 0.0000 0.0000
K 0.5000 0.0000 0.5000
K 0.5000 0.5000 0.5000
La 0.0000 0.5000 0.5000
La 0.5000 0.5000 0.0000
Ge 0.0000 0.0000 0.5000
Ge 0.0000 0.5000 0.0000
S 0.1939 0.7429 0.4510
S 0.2081 0.2571 0.9510
S 0.2270 0.2464 0.5194
S 0.2270 0.7076 0.9806
S 0.7730 0.2924 0.0194
S 0.7730 0.7536 0.4806
S 0.7919 0.7429 0.0490
S 0.8061 0.2571 0.5490
```

No. 7
DFT (PBE-GGA) results for an optimized crystal structure of KLaGeS4. Values from VASP.

## Properties
Fermi-level density of states	0.00	states/eV/f.u.
symmetry	P2_1 (4)
ρ	3.2	g/cm3
raw formation energy	-1.317	eV per atom

The structure in Quantum ESPRESSO input format:
```
&SYSTEM
  ibrav = 0, nat = 14, ntyp = 4
/
ATOMIC_SPECIES
K 39.10 K.upf
La 138.91 La.upf
Ge 72.64 Ge.upf
S 32.06 S.upf
CELL_PARAMETERS angstrom
6.7639 0.0000 0.0000
0.0000 6.8198 0.0000
-2.5866 0.0000 8.4687
ATOMIC_POSITIONS crystal
K 0.2310 0.0000 0.4338
K 0.7690 0.5000 0.5662
La 0.2689 0.0205 0.9459
La 0.7311 0.5205 0.0541
Ge 0.2769 0.4871 0.1801
Ge 0.7231 0.9871 0.8199
S 0.0793 0.4849 0.3387
S 0.0831 0.4340 0.9310
S 0.4737 0.7561 0.2092
S 0.4838 0.7504 0.7731
S 0.5162 0.2504 0.2269
S 0.5263 0.2561 0.7908
S 0.9169 0.9340 0.0690
S 0.9207 0.9849 0.6613
```

No. 8
DFT (PBE-GGA) results for an optimized crystal structure of K4La3GeSe8. Values from VASP.

## Properties
Fermi-level density of states	2.05	states/eV/f.u.
symmetry	R-3m (166)
ρ	4.2	g/cm3
raw formation energy	-1.476	eV per atom

The structure in Quantum ESPRESSO input format:
```
&SYSTEM
  ibrav = 0, nat = 16, ntyp = 4
/
ATOMIC_SPECIES
K 39.10 K.upf
La 138.91 La.upf
Ge 72.64 Ge.upf
Se 78.96 Se.upf
CELL_PARAMETERS angstrom
4.3584 2.5163 7.6891
-4.3584 2.5163 7.6891
0.0000 -5.0326 7.6891
ATOMIC_POSITIONS crystal
K 0.0000 0.0000 0.0000
K 0.0000 0.5000 0.5000
K 0.5000 0.0000 0.5000
K 0.5000 0.5000 0.0000
La 0.0000 0.0000 0.5000
La 0.0000 0.5000 0.0000
La 0.5000 0.0000 0.0000
Ge 0.5000 0.5000 0.5000
Se 0.2382 0.2382 0.2382
Se 0.2544 0.7245 0.7245
Se 0.2755 0.2755 0.7456
Se 0.2755 0.7456 0.2755
Se 0.7245 0.2544 0.7245
Se 0.7245 0.7245 0.2544
Se 0.7456 0.2755 0.2755
Se 0.7618 0.7618 0.7618
```

No. 9
DFT (PBE-GGA) results for an optimized crystal structure of KLaGeSe4. Values from VASP.

## Properties
Fermi-level density of states	0.00	states/eV/f.u.
symmetry	P2_1 (4)
ρ	4.3	g/cm3
raw formation energy	-1.205	eV per atom

The structure in Quantum ESPRESSO input format:
```
&SYSTEM
  ibrav = 0, nat = 14, ntyp = 4
/
ATOMIC_SPECIES
K 39.10 K.upf
La 138.91 La.upf
Ge 72.64 Ge.upf
Se 78.96 Se.upf
CELL_PARAMETERS angstrom
7.0098 0.0000 0.0000
0.0000 7.1533 0.0000
-2.7859 0.0000 8.7783
ATOMIC_POSITIONS crystal
K 0.2461 0.0000 0.4377
K 0.7539 0.5000 0.5623
La 0.2686 0.0069 0.9460
La 0.7314 0.5069 0.0540
Ge 0.2794 0.4722 0.1792
Ge 0.7206 0.9722 0.8208
Se 0.0770 0.4135 0.9238
Se 0.0807 0.4679 0.3444
Se 0.4711 0.7325 0.7698
Se 0.4822 0.7468 0.2135
Se 0.5178 0.2468 0.7865
Se 0.5289 0.2325 0.2302
Se 0.9193 0.9679 0.6556
Se 0.9230 0.9135 0.0762
```

No. 10
DFT (PBE-GGA) results for an optimized crystal structure of K2LaGeTe. Values from VASP.

## Properties
Fermi-level density of states	2.18	states/eV/f.u.
symmetry	P4/mmm (123)
ρ	3.0	g/cm3
raw formation energy	-0.064	eV per atom

The structure in Quantum ESPRESSO input format:
```
&SYSTEM
  ibrav = 0, nat = 5, ntyp = 4
/
ATOMIC_SPECIES
K 39.10 K.upf
La 138.91 La.upf
Ge 72.64 Ge.upf
Te 127.60 Te.upf
CELL_PARAMETERS angstrom
6.1639 0.0000 0.0000
0.0000 6.1639 0.0000
0.0000 0.0000 6.1436
ATOMIC_POSITIONS crystal
K 0.0000 0.5000 0.0000
K 0.5000 0.0000 0.0000
La 0.0000 0.0000 0.5000
Ge 0.5000 0.5000 0.5000
Te 0.0000 0.0000 0.0000
```

No. 11
DFT (PBE-GGA) results for an optimized crystal structure of KLiGe. Values from VASP.

## Properties
Fermi-level density of states	0.47	states/eV/f.u.
symmetry	P-3m1 (164)
DFT formation energy	-223	meV/atom
ρ	2.0	g/cm3
E above lowest polymorph	1	meV/atom

The structure in Quantum ESPRESSO input format:
```
&SYSTEM
  ibrav = 0, nat = 6, ntyp = 3
/
ATOMIC_SPECIES
K 39.10 K.upf
Li 6.94 Li.upf
Ge 72.64 Ge.upf
CELL_PARAMETERS angstrom
4.5479 0.0000 0.0000
-2.2739 3.9386 0.0000
0.0000 0.0000 11.1679
ATOMIC_POSITIONS crystal
K 0.3333 0.6667 0.3015
K 0.6667 0.3333 0.6985
Li 0.3333 0.6667 0.9767
Li 0.6667 0.3333 0.0233
Ge 0.0000 0.0000 0.1061
Ge 0.0000 0.0000 0.8939
```

No. 12
DFT (PBE-GGA) results for an optimized crystal structure of KLiGe. Values from VASP.

## Properties
Fermi-level density of states	0.64	states/eV/f.u.
symmetry	P2_1/m (11)
DFT formation energy	-177	meV/atom
ρ	1.9	g/cm3
E above lowest polymorph	46	meV/atom

The structure in Quantum ESPRESSO input format:
```
&SYSTEM
  ibrav = 0, nat = 6, ntyp = 3
/
ATOMIC_SPECIES
K 39.10 K.upf
Li 6.94 Li.upf
Ge 72.64 Ge.upf
CELL_PARAMETERS angstrom
5.2121 0.0000 0.0000
0.0000 4.0867 0.0000
-1.3050 0.0000 9.7100
ATOMIC_POSITIONS crystal
K 0.2081 0.2500 0.3187
K 0.7919 0.7500 0.6813
Li 0.3538 0.2500 0.9124
Li 0.6462 0.7500 0.0876
Ge 0.1398 0.7500 0.0373
Ge 0.8602 0.2500 0.9627
```

No. 13
DFT (PBE-GGA) results for an optimized crystal structure of K2LiGe2. Values from VASP.

## Properties
Fermi-level density of states	2.45	states/eV/f.u.
symmetry	P4/mbm (127)
DFT formation energy	13	meV/atom
ρ	2.4	g/cm3

The structure in Quantum ESPRESSO input format:
```
&SYSTEM
  ibrav = 0, nat = 10, ntyp = 3
/
ATOMIC_SPECIES
K 39.10 K.upf
Li 6.94 Li.upf
Ge 72.64 Ge.upf
CELL_PARAMETERS angstrom
7.8213 0.0000 0.0000
0.0000 7.8213 0.0000
0.0000 0.0000 5.2752
ATOMIC_POSITIONS crystal
K 0.1871 0.3129 0.0000
K 0.3129 0.8129 0.0000
K 0.6871 0.1871 0.0000
K 0.8129 0.6871 0.0000
Li 0.0000 0.0000 0.5000
Li 0.5000 0.5000 0.5000
Ge 0.1062 0.6062 0.5000
Ge 0.3938 0.1062 0.5000
Ge 0.6062 0.8938 0.5000
Ge 0.8938 0.3938 0.5000
```

No. 14
DFT (PBE-GGA) results for an optimized crystal structure of KLiGe. Values from VASP.

## Properties
Fermi-level density of states	1.06	states/eV/f.u.
symmetry	P2_1/m (11)
DFT formation energy	-176	meV/atom
ρ	2.1	g/cm3
E above lowest polymorph	47	meV/atom

The structure in Quantum ESPRESSO input format:
```
&SYSTEM
  ibrav = 0, nat = 6, ntyp = 3
/
ATOMIC_SPECIES
K 39.10 K.upf
Li 6.94 Li.upf
Ge 72.64 Ge.upf
CELL_PARAMETERS angstrom
4.2974 0.0000 0.0000
0.0000 3.8799 0.0000
-2.1631 0.0000 11.3901
ATOMIC_POSITIONS crystal
K 0.1615 0.2500 0.3272
K 0.8385 0.7500 0.6728
Li 0.4600 0.7500 0.9190
Li 0.5400 0.2500 0.0810
Ge 0.0379 0.7500 0.0737
Ge 0.9621 0.2500 0.9263
```

No. 15
DFT (PBE-GGA) results for an optimized crystal structure of KLi2Ge. Values from VASP.

## Properties
Fermi-level density of states	3.14	states/eV/f.u.
symmetry	I4_1/amd (141)
DFT formation energy	60	meV/atom
ρ	1.7	g/cm3

The structure in Quantum ESPRESSO input format:
```
&SYSTEM
  ibrav = 0, nat = 8, ntyp = 3
/
ATOMIC_SPECIES
K 39.10 K.upf
Li 6.94 Li.upf
Ge 72.64 Ge.upf
CELL_PARAMETERS angstrom
-2.6558 2.6558 8.7619
2.6558 -2.6558 8.7619
2.6558 2.6558 -8.7619
ATOMIC_POSITIONS crystal
K 0.3750 0.6250 0.7500
K 0.6250 0.3750 0.2500
Li 0.0000 0.0000 0.0000
Li 0.0000 0.0000 0.5000
Li 0.0000 0.5000 0.0000
Li 0.5000 0.0000 0.5000
Ge 0.1250 0.8750 0.2500
Ge 0.8750 0.1250 0.7500
```

No. 16
DFT (PBE-GGA) results for an optimized crystal structure of KLiGe. Values from VASP.

## Properties
Fermi-level density of states	0.34	states/eV/f.u.
symmetry	P1 (1)
DFT formation energy	-214	meV/atom
ρ	2.0	g/cm3
E above lowest polymorph	9	meV/atom

The structure in Quantum ESPRESSO input format:
```
&SYSTEM
  ibrav = 0, nat = 6, ntyp = 3
/
ATOMIC_SPECIES
K 39.10 K.upf
Li 6.94 Li.upf
Ge 72.64 Ge.upf
CELL_PARAMETERS angstrom
4.5239 0.0000 0.0000
-2.2591 3.9201 0.0000
-1.8700 -1.4431 11.2375
ATOMIC_POSITIONS crystal
K 0.0000 0.0000 0.0000
K 0.3630 0.2249 0.6087
Li 0.1812 0.1130 0.3043
Li 0.5147 0.7796 0.3045
Ge 0.7856 0.4078 0.1988
Ge 0.9109 0.4853 0.4099
```

No. 17
DFT (PBE-GGA) results for an optimized crystal structure of KLiGe2. Values from VASP.

## Properties
Fermi-level density of states	2.17	states/eV/f.u.
symmetry	I-42d (122)
DFT formation energy	12	meV/atom
ρ	2.7	g/cm3
E above lowest polymorph	0	meV/atom

The structure in Quantum ESPRESSO input format:
```
&SYSTEM
  ibrav = 0, nat = 8, ntyp = 3
/
ATOMIC_SPECIES
K 39.10 K.upf
Li 6.94 Li.upf
Ge 72.64 Ge.upf
CELL_PARAMETERS angstrom
-2.4923 2.4923 9.4027
2.4923 -2.4923 9.4027
2.4923 2.4923 -9.4027
ATOMIC_POSITIONS crystal
K 0.0000 0.0000 0.0000
K 0.7500 0.2500 0.5000
Li 0.2500 0.7500 0.5000
Li 0.5000 0.5000 0.0000
Ge 0.3664 0.6250 0.2414
Ge 0.3750 0.6164 0.7414
Ge 0.3836 0.1250 0.7586
Ge 0.8750 0.6336 0.2586
```

No. 18
DFT (PBE-GGA) results for an optimized crystal structure of KLiGe. Values from VASP.

## Properties
Fermi-level density of states	0.62	states/eV/f.u.
symmetry	I4/mmm (139)
DFT formation energy	-223	meV/atom
ρ	2.3	g/cm3
E above lowest polymorph	0	meV/atom

The structure in Quantum ESPRESSO input format:
```
&SYSTEM
  ibrav = 0, nat = 6, ntyp = 3
/
ATOMIC_SPECIES
K 39.10 K.upf
Li 6.94 Li.upf
Ge 72.64 Ge.upf
CELL_PARAMETERS angstrom
-2.3767 2.3767 7.4508
2.3767 -2.3767 7.4508
2.3767 2.3767 -7.4508
ATOMIC_POSITIONS crystal
K 0.1786 0.1786 0.0000
K 0.8214 0.8214 0.0000
Li 0.0000 0.5000 0.5000
Li 0.5000 0.0000 0.5000
Ge 0.4160 0.4160 0.0000
Ge 0.5840 0.5840 0.0000
```

No. 19
DFT (PBE-GGA) results for an optimized crystal structure of KLiGe. Values from VASP.

## Properties
Fermi-level density of states	0.61	states/eV/f.u.
symmetry	C2/m (12)
DFT formation energy	-223	meV/atom
ρ	2.0	g/cm3
E above lowest polymorph	0	meV/atom

The structure in Quantum ESPRESSO input format:
```
&SYSTEM
  ibrav = 0, nat = 6, ntyp = 3
/
ATOMIC_SPECIES
K 39.10 K.upf
Li 6.94 Li.upf
Ge 72.64 Ge.upf
CELL_PARAMETERS angstrom
3.9418 -2.2750 0.0000
3.9418 2.2750 0.0000
-2.8650 0.0000 11.1457
ATOMIC_POSITIONS crystal
K 0.2230 0.2230 0.1975
K 0.7770 0.7770 0.8025
Li 0.3425 0.3425 0.5236
Li 0.6575 0.6575 0.4764
Ge 0.0389 0.0389 0.6063
Ge 0.9611 0.9611 0.3937
```

No. 20
DFT (PBE-GGA) results for an optimized crystal structure of KLiGe. Values from VASP.

## Properties
Fermi-level density of states	0.84	states/eV/f.u.
symmetry	P1 (1)
DFT formation energy	-161	meV/atom
ρ	2.0	g/cm3
E above lowest polymorph	62	meV/atom

The structure in Quantum ESPRESSO input format:
```
&SYSTEM
  ibrav = 0, nat = 6, ntyp = 3
/
ATOMIC_SPECIES
K 39.10 K.upf
Li 6.94 Li.upf
Ge 72.64 Ge.upf
CELL_PARAMETERS angstrom
4.0391 0.0000 0.0000
-2.0102 4.5282 0.0000
-0.0470 -1.5947 10.5678
ATOMIC_POSITIONS crystal
K 0.0000 0.0000 0.0000
K 0.3362 0.6857 0.3834
Li 0.2471 0.5011 0.7962
Li 0.7749 0.5610 0.6343
Ge 0.0518 0.1142 0.5894
Ge 0.5302 0.0669 0.7395
```